Below is a PBEsol-optimized structure of ZnPtBr2, with properties calculated at the meta-GGA SCAN level.

Calculated values
Formation energy without anion corrections (kJ/mol of formula units): -82

CIF file:
```
data_ZnPtBr2
_cell_length_a 3.5054
_cell_length_b 3.5706
_cell_length_c 7.1829
_cell_angle_alpha 99.53
_cell_angle_beta 90.00
_cell_angle_gamma 90.00
_symmetry_space_group_name_H-M 'P 1'
_symmetry_Int_Tables_number 1
loop_
_symmetry_equiv_pos_as_xyz
'x,y,z'
loop_
_atom_site_label
_atom_site_fract_x
_atom_site_fract_y
_atom_site_fract_z
_atom_site_occupancy
Br1 0.0000 0.9888 0.9237 1
Br2 0.5000 0.5725 0.3123 1
Pt1 0.0000 0.7030 0.5859 1
Zn1 0.5000 0.2357 0.6781 1
```



Below is a PBEsol-optimized structure of Zn2PtBr, with properties calculated at the meta-GGA SCAN level.

Calculated values
Formation energy without anion corrections (kJ/mol of formula units): 4

CIF file:
```
data_Zn2PtBr
_cell_length_a 2.9661
_cell_length_b 4.6997
_cell_length_c 4.6997
_cell_angle_alpha 92.85
_cell_angle_beta 90.01
_cell_angle_gamma 90.01
_symmetry_space_group_name_H-M 'P 1'
_symmetry_Int_Tables_number 1
loop_
_symmetry_equiv_pos_as_xyz
'x,y,z'
loop_
_atom_site_label
_atom_site_fract_x
_atom_site_fract_y
_atom_site_fract_z
_atom_site_occupancy
Br1 0.5000 0.5000 0.5000 1
Pt1 0.5000 0.0000 0.0000 1
Zn1 0.0000 0.5000 0.0000 1
Zn2 0.0000 0.0000 0.5000 1
```



Below is a PBEsol-optimized structure of Zn4PtBr, with properties calculated at the meta-GGA SCAN level.

Calculated values
Formation energy without anion corrections (kJ/mol of formula units): 134

CIF file:
```
data_Zn4PtBr
_cell_length_a 5.1159
_cell_length_b 5.1159
_cell_length_c 5.1159
_cell_angle_alpha 60.00
_cell_angle_beta 60.00
_cell_angle_gamma 60.00
_symmetry_space_group_name_H-M 'P 1'
_symmetry_Int_Tables_number 1
loop_
_symmetry_equiv_pos_as_xyz
'x,y,z'
loop_
_atom_site_label
_atom_site_fract_x
_atom_site_fract_y
_atom_site_fract_z
_atom_site_occupancy
Br1 0.7500 0.7500 0.7500 1
Pt1 0.0000 0.0000 0.0000 1
Zn1 0.3743 0.3743 0.3743 1
Zn2 0.3743 0.3743 0.8770 1
Zn3 0.8770 0.3743 0.3743 1
Zn4 0.3743 0.8770 0.3743 1
```



Below is a PBEsol-optimized structure of ZnPt2Br, with properties calculated at the meta-GGA SCAN level.

Calculated values
Formation energy without anion corrections (kJ/mol of formula units): 116

CIF file:
```
data_ZnPt2Br
_cell_length_a 2.9084
_cell_length_b 4.4307
_cell_length_c 5.0587
_cell_angle_alpha 90.00
_cell_angle_beta 90.00
_cell_angle_gamma 90.00
_symmetry_space_group_name_H-M 'P 1'
_symmetry_Int_Tables_number 1
loop_
_symmetry_equiv_pos_as_xyz
'x,y,z'
loop_
_atom_site_label
_atom_site_fract_x
_atom_site_fract_y
_atom_site_fract_z
_atom_site_occupancy
Br1 0.0000 0.5000 0.5000 1
Pt1 0.0000 0.0000 0.0000 1
Pt2 0.5000 0.0000 0.5000 1
Zn1 0.5000 0.5000 0.0000 1
```



Below is a PBEsol-optimized structure of Zn2PtBr, with properties calculated at the meta-GGA SCAN level.

Calculated values
Formation energy without anion corrections (kJ/mol of formula units): -80

CIF file:
```
data_Zn2PtBr
_cell_length_a 3.4990
_cell_length_b 3.4990
_cell_length_c 6.5430
_cell_angle_alpha 90.00
_cell_angle_beta 90.00
_cell_angle_gamma 90.00
_symmetry_space_group_name_H-M 'P 1'
_symmetry_Int_Tables_number 1
loop_
_symmetry_equiv_pos_as_xyz
'x,y,z'
loop_
_atom_site_label
_atom_site_fract_x
_atom_site_fract_y
_atom_site_fract_z
_atom_site_occupancy
Br1 0.0000 0.0000 0.4277 1
Pt1 0.5000 0.5000 0.8938 1
Zn1 0.0000 0.0000 0.9179 1
Zn2 0.5000 0.5000 0.2607 1
```



Below is a PBEsol-optimized structure of ZnPt3Br, with properties calculated at the meta-GGA SCAN level.

Calculated values
Formation energy without anion corrections (kJ/mol of formula units): 532

CIF file:
```
data_ZnPt3Br
_cell_length_a 4.6137
_cell_length_b 4.6137
_cell_length_c 4.6137
_cell_angle_alpha 90.00
_cell_angle_beta 90.00
_cell_angle_gamma 90.00
_symmetry_space_group_name_H-M 'P 1'
_symmetry_Int_Tables_number 1
loop_
_symmetry_equiv_pos_as_xyz
'x,y,z'
loop_
_atom_site_label
_atom_site_fract_x
_atom_site_fract_y
_atom_site_fract_z
_atom_site_occupancy
Zn1 0.0000 0.0000 0.0000 1
Br1 0.5000 0.5000 0.5000 1
Pt1 0.0000 0.5000 0.0000 1
Pt2 0.0000 0.0000 0.5000 1
Pt3 0.5000 0.0000 0.0000 1
```



Below is a PBEsol-optimized structure of Zn2PtBr, with properties calculated at the meta-GGA SCAN level.

Calculated values
Formation energy without anion corrections (kJ/mol of formula units): -122

CIF file:
```
data_Zn2PtBr
_cell_length_a 3.0371
_cell_length_b 3.3324
_cell_length_c 7.0943
_cell_angle_alpha 90.05
_cell_angle_beta 90.00
_cell_angle_gamma 90.00
_symmetry_space_group_name_H-M 'P 1'
_symmetry_Int_Tables_number 1
loop_
_symmetry_equiv_pos_as_xyz
'x,y,z'
loop_
_atom_site_label
_atom_site_fract_x
_atom_site_fract_y
_atom_site_fract_z
_atom_site_occupancy
Br1 0.5000 0.0000 0.5000 1
Pt1 0.5000 0.5000 0.0000 1
Zn1 0.0000 0.9996 0.8066 1
Zn2 0.0000 0.0004 0.1934 1
```



Below is a PBEsol-optimized structure of ZrPtBr4, with properties calculated at the meta-GGA SCAN level.

Calculated values
Formation energy without anion corrections (kJ/mol of formula units): 551

CIF file:
```
data_ZrPtBr4
_cell_length_a 5.7405
_cell_length_b 5.7405
_cell_length_c 5.7405
_cell_angle_alpha 60.00
_cell_angle_beta 60.00
_cell_angle_gamma 60.00
_symmetry_space_group_name_H-M 'P 1'
_symmetry_Int_Tables_number 1
loop_
_symmetry_equiv_pos_as_xyz
'x,y,z'
loop_
_atom_site_label
_atom_site_fract_x
_atom_site_fract_y
_atom_site_fract_z
_atom_site_occupancy
Br1 0.3752 0.3752 0.3752 1
Br2 0.3752 0.3752 0.8744 1
Br3 0.8744 0.3752 0.3752 1
Br4 0.3752 0.8744 0.3752 1
Pt1 0.7500 0.7500 0.7500 1
Zr1 0.0000 0.0000 0.0000 1
```



Below is a PBEsol-optimized structure of ZrPt2Br, with properties calculated at the meta-GGA SCAN level.

Calculated values
Formation energy without anion corrections (kJ/mol of formula units): -260

CIF file:
```
data_ZrPt2Br
_cell_length_a 3.5934
_cell_length_b 4.7481
_cell_length_c 6.5597
_cell_angle_alpha 98.21
_cell_angle_beta 90.00
_cell_angle_gamma 112.23
_symmetry_space_group_name_H-M 'P 1'
_symmetry_Int_Tables_number 1
loop_
_symmetry_equiv_pos_as_xyz
'x,y,z'
loop_
_atom_site_label
_atom_site_fract_x
_atom_site_fract_y
_atom_site_fract_z
_atom_site_occupancy
Br1 0.9141 0.8282 0.2770 1
Zr1 0.4896 0.9792 0.5991 1
Pt1 0.9065 0.8131 0.8527 1
Pt2 0.1898 0.3796 0.7712 1
```



Below is a PBEsol-optimized structure of ZrPtBr2, with properties calculated at the meta-GGA SCAN level.

Calculated values
Formation energy without anion corrections (kJ/mol of formula units): -16

CIF file:
```
data_ZrPtBr2
_cell_length_a 4.7421
_cell_length_b 4.7421
_cell_length_c 4.7421
_cell_angle_alpha 60.00
_cell_angle_beta 60.00
_cell_angle_gamma 60.00
_symmetry_space_group_name_H-M 'P 1'
_symmetry_Int_Tables_number 1
loop_
_symmetry_equiv_pos_as_xyz
'x,y,z'
loop_
_atom_site_label
_atom_site_fract_x
_atom_site_fract_y
_atom_site_fract_z
_atom_site_occupancy
Br1 0.2500 0.2500 0.2500 1
Br2 0.7500 0.7500 0.7500 1
Zr1 0.5000 0.5000 0.5000 1
Pt1 0.0000 0.0000 0.0000 1
```



Below is a PBEsol-optimized structure of Zr2PtBr, with properties calculated at the meta-GGA SCAN level.

Calculated values
Formation energy without anion corrections (kJ/mol of formula units): -301

CIF file:
```
data_Zr2PtBr
_cell_length_a 3.3148
_cell_length_b 4.3928
_cell_length_c 5.4793
_cell_angle_alpha 90.00
_cell_angle_beta 90.00
_cell_angle_gamma 90.00
_symmetry_space_group_name_H-M 'P 1'
_symmetry_Int_Tables_number 1
loop_
_symmetry_equiv_pos_as_xyz
'x,y,z'
loop_
_atom_site_label
_atom_site_fract_x
_atom_site_fract_y
_atom_site_fract_z
_atom_site_occupancy
Br1 0.3785 0.0000 0.0000 1
Zr1 0.8834 0.5000 0.0000 1
Zr2 0.3705 0.0000 0.5000 1
Pt1 0.8676 0.5000 0.5000 1
```



Below is a PBEsol-optimized structure of ZrPt2Br, with properties calculated at the meta-GGA SCAN level.

Calculated values
Formation energy without anion corrections (kJ/mol of formula units): -48

CIF file:
```
data_ZrPt2Br
_cell_length_a 3.0590
_cell_length_b 3.0590
_cell_length_c 9.1441
_cell_angle_alpha 80.41
_cell_angle_beta 80.41
_cell_angle_gamma 59.96
_symmetry_space_group_name_H-M 'P 1'
_symmetry_Int_Tables_number 1
loop_
_symmetry_equiv_pos_as_xyz
'x,y,z'
loop_
_atom_site_label
_atom_site_fract_x
_atom_site_fract_y
_atom_site_fract_z
_atom_site_occupancy
Br1 0.2417 0.2417 0.2746 1
Zr1 0.5000 0.5000 0.5004 1
Pt1 0.0054 0.0054 0.9845 1
Pt2 0.7529 0.7529 0.7405 1
```



Number 1: E -123.47 eV per formula unit. Number 2: E -116.65 eV per formula unit. Number 3: E -142.32 eV per formula unit. Number 4: E -172.16 eV per formula unit. Number 5: E -117.51 eV per formula unit. Number 6: E -238.04 eV per formula unit. Number 7: E -117.95 eV per formula unit. Number 8: E -173.02 eV per formula unit. Number 9: E -193.24 eV per formula unit. Number 10: E -139.98 eV per formula unit. Number 11: E -154.17 eV per formula unit. Number 12: E -191.04 eV per formula unit.